(1)
## Tb3InIrPd2Pb2 (PBE)

Data for a relaxed structure of Tb3InIrPd2Pb2.

Computed properties:
M_tot = 0.0 μB/f.u.

a = 3.888 Å, b = 13.489 Å, c = 7.754 Å
α = 90.00°, β = 90.00°, γ = 90.00°
Space group Amm2 (No. 38)
Inequivalent atoms, fractional coordinates:
Tb: 0.000 0.000 0.000 [2 per cell]
Tb: 0.000 0.196 0.394 [4 per cell]
In: 0.500 0.000 0.333 [2 per cell]
Ir: 0.000 0.000 0.591 [2 per cell]
Pd: 0.500 0.165 0.099 [4 per cell]
Pb: 0.500 0.132 0.727 [4 per cell]

=====

(2)
## CoOs2Pd (PBE)

Data for a relaxed structure of CoOs2Pd.

Computed properties:
Calculated formation energy = 201 kJ/mol of formula units
M_tot = 2.5 μB/f.u.

a = 6.081 Å, b = 6.081 Å, c = 6.081 Å
α = 90.00°, β = 90.00°, γ = 90.00°
Space group F-43m (No. 216)
Inequivalent atoms, fractional coordinates:
Co: 0.000 0.000 0.000 [4 per cell]
Os: 0.000 0.000 0.500 [4 per cell]
Os: 0.250 0.250 0.250 [4 per cell]
Pd: 0.250 0.250 0.750 [4 per cell]

=====

(3)
## FeB4 (PBE)

Data for a relaxed structure of FeB4.

Computed properties:
M_tot = 0.4 μB/f.u.

a = 2.8671 Å, b = 2.8671 Å, c = 10.0070 Å
α = 90.00°, β = 90.00°, γ = 120.00°
Space group P6_3/mmc (No. 194)
Inequivalent atoms, fractional coordinates:
Fe: 0.3333 0.6667 0.2500 [2 per cell]
B: 0.3333 0.6667 0.0434 [4 per cell]
B: 0.3333 0.6667 0.6259 [4 per cell]

=====

(4)
## KMoAs (PBE)

Data for a relaxed structure of KMoAs.

Computed properties:
Energy relative to the lowest polymorph listed for this composition = 714.8 meV/atom
M_tot = 4.0 μB/f.u.

a = 7.031 Å, b = 7.031 Å, c = 7.031 Å
α = 90.00°, β = 90.00°, γ = 90.00°
Space group F-43m (No. 216)
Inequivalent atoms, fractional coordinates:
K: 0.000 0.000 0.000 [4 per cell]
Mo: 0.250 0.250 0.250 [4 per cell]
As: 0.250 0.250 0.750 [4 per cell]

=====

(5)
## CdPd (PBE)

Data for a relaxed structure of CdPd.

Computed properties:
Calculated formation energy = -18 kJ/mol of formula units

a = 5.425 Å, b = 5.425 Å, c = 5.425 Å
α = 90.00°, β = 90.00°, γ = 90.00°
Space group Fm-3m (No. 225)
Inequivalent atoms, fractional coordinates:
Cd: 0.000 0.000 0.000 [4 per cell]
Pd: 0.000 0.000 0.500 [4 per cell]

=====

(6)
## HfC4 (PBE)

Data for a relaxed structure of HfC4.

Computed properties:
M_tot = 0.0 μB/f.u.

a = 2.6675 Å, b = 2.6675 Å, c = 12.8276 Å
α = 90.00°, β = 90.00°, γ = 120.00°
Space group P-3m1 (No. 164)
Inequivalent atoms, fractional coordinates:
Hf: 0.3333 0.6667 0.1675 [2 per cell]
C: 0.0000 0.0000 0.3193 [2 per cell]
C: 0.3333 0.6667 0.3601 [2 per cell]
C: 0.3333 0.6667 0.4803 [2 per cell]
C: 0.3333 0.6667 0.9821 [2 per cell]

=====

(7)
## Ho2Al4CoCu (PBE)

Data for a relaxed structure of Ho2Al4CoCu.

Computed properties:
M_tot = 0.0 μB/f.u.

a = 6.910 Å, b = 4.061 Å, c = 10.136 Å
α = 90.00°, β = 90.00°, γ = 90.00°
Space group Amm2 (No. 38)
Inequivalent atoms, fractional coordinates:
Ho: 0.000 0.000 0.000 [2 per cell]
Ho: 0.500 0.000 0.124 [2 per cell]
Al: 0.190 0.000 0.716 [4 per cell]
Al: 0.300 0.000 0.407 [4 per cell]
Co: 0.000 0.000 0.275 [2 per cell]
Cu: 0.500 0.000 0.844 [2 per cell]

=====

(8)
## NaSi5Pd3 (PBE)

Data for a relaxed structure of NaSi5Pd3.

a = 5.5095 Å, b = 5.5095 Å, c = 6.0989 Å
α = 90.00°, β = 90.00°, γ = 120.00°
Space group P6/mmm (No. 191)
Inequivalent atoms, fractional coordinates:
Na: 0.0000 0.0000 0.0000 [1 per cell]
Si: 0.0000 0.0000 0.5000 [1 per cell]
Si: 0.3333 0.6667 0.1899 [4 per cell]
Pd: 0.0000 0.5000 0.5000 [3 per cell]

=====

(9)
## PrPaCu2Sb2As2 (PBE)

Data for a relaxed structure of PrPaCu2Sb2As2.

Computed properties:
M_tot = 0.2 μB/f.u.

a = 4.207 Å, b = 4.207 Å, c = 9.762 Å
α = 90.00°, β = 90.00°, γ = 90.00°
Space group P4mm (No. 99)
Inequivalent atoms, fractional coordinates:
Pr: 0.000 0.000 0.000 [1 per cell]
Pa: 0.500 0.500 0.514 [1 per cell]
Cu: 0.000 0.500 0.744 [2 per cell]
Sb: 0.000 0.500 0.263 [2 per cell]
As: 0.000 0.000 0.581 [1 per cell]
As: 0.500 0.500 0.887 [1 per cell]

=====

(10)
## LuCuSiIr (PBE)

Data for a relaxed structure of LuCuSiIr.

Computed properties:
Energy relative to the lowest polymorph listed for this composition = 288.5 meV/atom
M_tot = 0.0 μB/f.u.

a = 6.392 Å, b = 6.392 Å, c = 6.392 Å
α = 90.00°, β = 90.00°, γ = 90.00°
Space group F-43m (No. 216)
Inequivalent atoms, fractional coordinates:
Lu: 0.000 0.000 0.000 [4 per cell]
Cu: 0.000 0.000 0.500 [4 per cell]
Si: 0.250 0.250 0.250 [4 per cell]
Ir: 0.250 0.250 0.750 [4 per cell]

=====

(11)
## LiZrAg2 (PBE)

Data for a relaxed structure of LiZrAg2.

Computed properties:
M_tot = 0.5 μB/f.u.

a = 6.580 Å, b = 6.580 Å, c = 6.580 Å
α = 90.00°, β = 90.00°, γ = 90.00°
Space group F-43m (No. 216)
Inequivalent atoms, fractional coordinates:
Li: 0.000 0.000 0.000 [4 per cell]
Zr: 0.250 0.250 0.250 [4 per cell]
Ag: 0.000 0.000 0.500 [4 per cell]
Ag: 0.250 0.250 0.750 [4 per cell]

=====

(12)
## HfAlCoHg (PBE)

Data for a relaxed structure of HfAlCoHg.

Computed properties:
Energy relative to the lowest polymorph listed for this composition = 0.0 meV/atom
M_tot = 0.4 μB/f.u.

a = 6.454 Å, b = 6.454 Å, c = 6.454 Å
α = 90.00°, β = 90.00°, γ = 90.00°
Space group F-43m (No. 216)
Inequivalent atoms, fractional coordinates:
Hf: 0.000 0.000 0.000 [4 per cell]
Al: 0.000 0.000 0.500 [4 per cell]
Co: 0.250 0.250 0.750 [4 per cell]
Hg: 0.250 0.250 0.250 [4 per cell]

=====

(13)
## HoTmGaC (PBE)

Data for a relaxed structure of HoTmGaC.

Computed properties:
M_tot = 0.3 μB/f.u.

a = 3.5334 Å, b = 3.5334 Å, c = 15.3964 Å
α = 90.00°, β = 90.00°, γ = 120.00°
Space group P-3m1 (No. 164)
Inequivalent atoms, fractional coordinates:
Ho: 0.3333 0.6667 0.0883 [2 per cell]
Tm: 0.3333 0.6667 0.4137 [2 per cell]
Ga: 0.3333 0.6667 0.7482 [2 per cell]
C: 0.0000 0.0000 0.0000 [1 per cell]
C: 0.0000 0.0000 0.5000 [1 per cell]

=====

(14)
## LiTc (PBE)

Data for a relaxed structure of LiTc.

Computed properties:
Energy relative to the lowest polymorph listed for this composition = 2201.1 meV/atom
M_tot = 2.8 μB/f.u.

a = 5.304 Å, b = 5.304 Å, c = 5.304 Å
α = 90.00°, β = 90.00°, γ = 90.00°
Space group F-43m (No. 216)
Inequivalent atoms, fractional coordinates:
Li: 0.000 0.000 0.000 [4 per cell]
Tc: 0.250 0.250 0.750 [4 per cell]

=====

(15)
## ScNb2Fe (PBE)

Data for a relaxed structure of ScNb2Fe.

Computed properties:
Calculated formation energy = 64 kJ/mol of formula units
M_tot = 1.6 μB/f.u.

a = 6.438 Å, b = 6.438 Å, c = 6.438 Å
α = 90.00°, β = 90.00°, γ = 90.00°
Space group F-43m (No. 216)
Inequivalent atoms, fractional coordinates:
Sc: 0.000 0.000 0.000 [4 per cell]
Nb: 0.000 0.000 0.500 [4 per cell]
Nb: 0.250 0.250 0.750 [4 per cell]
Fe: 0.250 0.250 0.250 [4 per cell]

=====

(16)
## Na2Mg2NiH6 (PBE)

Data for a relaxed structure of Na2Mg2NiH6.

Computed properties:
M_tot = 0.0 μB/f.u.

a = 11.188 Å, b = 8.297 Å, c = 5.278 Å
α = 90.00°, β = 90.00°, γ = 90.00°
Space group Pnma (No. 62)
Inequivalent atoms, fractional coordinates:
Na: 0.110 0.250 0.045 [4 per cell]
Na: 0.170 0.750 0.059 [4 per cell]
Mg: 0.128 0.507 0.564 [8 per cell]
Ni: 0.001 0.750 0.441 [4 per cell]
H: 0.022 0.599 0.258 [8 per cell]
H: 0.100 0.750 0.656 [4 per cell]
H: 0.134 0.250 0.469 [4 per cell]
H: 0.221 0.017 0.877 [8 per cell]

=====

(17)
## Cs2LiTcF6 (PBE)

Data for a relaxed structure of Cs2LiTcF6.

Computed properties:
Energy relative to the lowest polymorph listed for this composition = 0.0 meV/atom
M_tot = 2.0 μB/f.u.

a = 10.130 Å, b = 5.851 Å, c = 5.865 Å
α = 90.00°, β = 125.05°, γ = 90.00°
Space group C2/m (No. 12)
Inequivalent atoms, fractional coordinates:
Cs: 0.250 0.000 0.249 [4 per cell]
Li: 0.000 0.000 0.500 [2 per cell]
Tc: 0.000 0.500 0.000 [2 per cell]
F: 0.000 0.253 0.247 [8 per cell]
F: 0.247 0.500 0.248 [4 per cell]

=====

(18)
## NbCdCu2 (PBE)

Data for a relaxed structure of NbCdCu2.

Computed properties:
Calculated formation energy = 128 kJ/mol of formula units
M_tot = 0.0 μB/f.u.

a = 6.288 Å, b = 6.288 Å, c = 6.288 Å
α = 90.00°, β = 90.00°, γ = 90.00°
Space group F-43m (No. 216)
Inequivalent atoms, fractional coordinates:
Nb: 0.000 0.000 0.000 [4 per cell]
Cd: 0.250 0.250 0.250 [4 per cell]
Cu: 0.000 0.000 0.500 [4 per cell]
Cu: 0.250 0.250 0.750 [4 per cell]

=====

(19)
## SrHfB4 (PBE)

Data for a relaxed structure of SrHfB4.

Computed properties:
Energy relative to the lowest polymorph listed for this composition = 264.4 meV/atom
M_tot = 0.0 μB/f.u.

a = 3.191 Å, b = 5.736 Å, c = 7.720 Å
α = 90.00°, β = 90.00°, γ = 90.00°
Space group Immm (No. 71)
Inequivalent atoms, fractional coordinates:
Sr: 0.000 0.000 0.000 [2 per cell]
Hf: 0.000 0.000 0.500 [2 per cell]
B: 0.000 0.332 0.241 [8 per cell]

=====

(20)
## TaBeReGe (PBE)

Data for a relaxed structure of TaBeReGe.

Computed properties:
Energy relative to the lowest polymorph listed for this composition = 66.8 meV/atom
M_tot = 0.0 μB/f.u.

a = 6.071 Å, b = 6.071 Å, c = 6.071 Å
α = 90.00°, β = 90.00°, γ = 90.00°
Space group F-43m (No. 216)
Inequivalent atoms, fractional coordinates:
Ta: 0.000 0.000 0.000 [4 per cell]
Be: 0.250 0.250 0.250 [4 per cell]
Re: 0.000 0.000 0.500 [4 per cell]
Ge: 0.250 0.250 0.750 [4 per cell]

=====

no.,electronic total energy (eV/cell)
1,-99.1
2,-130.6
3,-71.5
4,-46.5
5,-25.0
6,-89.4
7,-78.1
8,-44.1
9,-44.3
10,-92.6
11,-63.6
12,-85.2
13,-45.7
14,-29.3
15,-136.6
16,-136.7
17,-98.1
18,-68.4
19,-78.8
20,-127.6